Ca4MnBe (GGA-PBE, optimized geometry); magnetic moment = 0.670 μB per atom; density of states at the Fermi level = 1.170 states/eV/atom; formation enthalpy at 0 K = 984 meV/atom
1.0
0.000 4.611 4.611
4.611 0.000 4.611
4.611 4.611 0.000
Ca Mn Be
4 1 1
Direct
0.125 0.125 0.125 Ca
0.125 0.125 0.625 Ca
0.125 0.625 0.125 Ca
0.625 0.125 0.125 Ca
0.750 0.750 0.750 Mn
0.500 0.500 0.500 Be


CaMn3Be (GGA-PBE, optimized geometry); magnetic moment = 1.801 μB per atom; density of states at the Fermi level = 1.175 states/eV/atom; distance to the lowest polymorph of the same formula = 0 kJ/mol of formula units; formation enthalpy at 0 K = 545 meV/atom
1.0
4.346 0.000 0.000
0.000 4.346 0.000
0.000 0.000 4.346
Ca Mn Be
1 3 1
Direct
0.000 0.000 0.000 Ca
0.000 0.500 0.500 Mn
0.500 0.000 0.500 Mn
0.500 0.500 0.000 Mn
0.500 0.500 0.500 Be